Entry 1:
Computed, not measured: crystalline HoEr2Se2 at its relaxed geometry at the PBE level of DFT.

```
HoEr2Se2
1.0
1.9414 1.1208 9.9063
-1.9414 1.1208 9.9063
0.0000 -2.2417 9.9063
Ho Er Se
1 2 2
direct
0.0000 0.0000 0.0000 Ho
0.2124 0.2124 0.2124 Er
0.7876 0.7876 0.7876 Er
0.3923 0.3923 0.3923 Se
0.6077 0.6077 0.6077 Se
```

## Properties
Total moment, Bohr magnetons per cell: 0.437
Formation energy without anion corrections, eV per atom: -1.36
SG: R-3m (166)
E, eV per formula unit: -27.5

=====

Entry 2:
Computed, not measured: crystalline As2PbSeBr at its relaxed geometry at the PBE level of DFT.

```
As2PbSeBr
1.0
5.4185 0.0000 0.0000
0.0000 5.4185 0.0000
0.0000 0.0000 5.6684
As Pb Se Br
2 1 1 1
direct
0.0000 0.5000 0.0000 As
0.5000 0.0000 0.0000 As
0.0000 0.0000 0.5000 Pb
0.5000 0.5000 0.5000 Se
0.5000 0.5000 0.0000 Br
```

## Properties
Excess energy over the best structure of this formula in the dataset, meV per atom: 398
Total moment, Bohr magnetons per cell: 0.633
Formation energy without anion corrections, eV per atom: 0.85
SG: P4/mmm (123)
E, eV per formula unit: -13.9

=====

Entry 3:
Computed, not measured: crystalline Mg3ZnRu at its relaxed geometry at the PBE level of DFT.

```
Mg3ZnRu
1.0
4.9373 0.0000 0.0000
0.0000 4.9373 0.0000
0.0000 0.0000 4.9373
Mg Zn Ru
3 1 1
direct
0.0000 0.0000 0.5000 Mg
0.0000 0.5000 0.0000 Mg
0.5000 0.0000 0.0000 Mg
0.5000 0.5000 0.5000 Zn
0.0000 0.0000 0.0000 Ru
```

## Properties
Excess energy over the best structure of this formula in the dataset, meV per atom: 0
Total moment, Bohr magnetons per cell: 0.000
SG: Pm-3m (221)
E, eV per formula unit: -13.0
DFT formation energy, eV per atom: 0.46

=====

Entry 4:
Computed, not measured: crystalline MnSb2Cl at its relaxed geometry at the PBE level of DFT.

```
MnSb2Cl
1.0
0.0000 3.6080 3.6080
3.6080 0.0000 3.6080
3.6080 3.6080 0.0000
Mn Sb Cl
1 2 1
direct
0.0000 0.0000 0.0000 Mn
0.5000 0.5000 0.5000 Sb
0.7500 0.7500 0.7500 Sb
0.2500 0.2500 0.2500 Cl
```

## Properties
Excess energy over the best structure of this formula in the dataset, meV per atom: 417
Total moment, Bohr magnetons per cell: 4.366
Formation energy without anion corrections, eV per atom: 0.22
SG: F-43m (216)
E, eV per formula unit: -18.4

=====

Entry 5:
Computed, not measured: crystalline Sr3CuAg2 at its relaxed geometry at the PBE level of DFT.

```
Sr3CuAg2
1.0
12.8450 0.0000 0.0000
0.0000 4.5416 0.0000
0.0000 0.0000 13.0029
Sr Cu Ag
12 4 8
direct
0.0547 0.2500 0.1279 Sr
0.1181 0.7500 0.5572 Sr
0.2157 0.2500 0.8033 Sr
0.2843 0.7500 0.3033 Sr
0.3819 0.2500 0.0572 Sr
0.4453 0.7500 0.6279 Sr
0.5547 0.2500 0.3721 Sr
0.6181 0.7500 0.9428 Sr
0.7157 0.2500 0.6967 Sr
0.7843 0.7500 0.1967 Sr
0.8819 0.2500 0.4428 Sr
0.9453 0.7500 0.8721 Sr
0.1248 0.2500 0.3744 Cu
0.3752 0.7500 0.8744 Cu
0.6248 0.2500 0.1256 Cu
0.8752 0.7500 0.6256 Cu
0.0253 0.7500 0.3160 Ag
0.1977 0.7500 0.9921 Ag
0.3023 0.2500 0.4921 Ag
0.4747 0.2500 0.8160 Ag
0.5253 0.7500 0.1840 Ag
0.6977 0.7500 0.5079 Ag
0.8023 0.2500 0.0079 Ag
0.9747 0.2500 0.6840 Ag
```

## Properties
Total moment, Bohr magnetons per cell: 0.000
SG: Pnma (62)
E, eV per formula unit: -16.2
DFT formation energy, eV per atom: -0.23

=====

Entry 6:
Computed, not measured: crystalline PmPr5Er4 at its relaxed geometry at the PBE level of DFT.

```
PmPr5Er4
1.0
9.1684 -1.8004 0.0000
9.1684 1.8004 0.0000
-1.1905 0.0000 10.5495
Pm Pr Er
1 5 4
direct
0.0000 0.0000 0.0000 Pm
0.0000 0.0000 0.5000 Pr
0.3100 0.3100 0.3994 Pr
0.3583 0.3583 0.7718 Pr
0.6417 0.6417 0.2282 Pr
0.6900 0.6900 0.6006 Pr
0.1825 0.1825 0.9136 Er
0.4537 0.4537 0.2371 Er
0.5463 0.5463 0.7629 Er
0.8175 0.8175 0.0864 Er
```

## Properties
Excess energy over the best structure of this formula in the dataset, meV per atom: 126
Total moment, Bohr magnetons per cell: 0.000
SG: C2/m (12)
E, eV per formula unit: -45.5
DFT formation energy, eV per atom: 0.14

=====

What did the third record say?
Computed, not measured: crystalline Mg3ZnRu at its relaxed geometry at the PBE level of DFT.

```
Mg3ZnRu
1.0
4.9373 0.0000 0.0000
0.0000 4.9373 0.0000
0.0000 0.0000 4.9373
Mg Zn Ru
3 1 1
direct
0.0000 0.0000 0.5000 Mg
0.0000 0.5000 0.0000 Mg
0.5000 0.0000 0.0000 Mg
0.5000 0.5000 0.5000 Zn
0.0000 0.0000 0.0000 Ru
```

## Properties
Excess energy over the best structure of this formula in the dataset, meV per atom: 0
Total moment, Bohr magnetons per cell: 0.000
SG: Pm-3m (221)
E, eV per formula unit: -13.0
DFT formation energy, eV per atom: 0.46